{
  "formula": "VZnN2O",
  "functional": "PBE with a Hubbard U",
  "state": "optimized geometry",
  "lattice_angstrom": [[3.8503, 0.0000, 0.0000], [0.0000, 3.8503, 0.0000], [0.0000, 0.0000, 3.7192]],
  "species": ["V", "Zn", "N", "N", "O"],
  "frac_coords": [[0.0000, 0.0000, 0.0000], [0.5000, 0.5000, 0.5000], [0.0000, 0.5000, 0.0000], [0.5000, 0.0000, 0.0000], [0.0000, 0.0000, 0.5000]],
  "crystal_system": "tetragonal",
  "e_tot_ev_per_atom": -5.814
}